A relaxed BaLiInCl6 crystal, computed with GGA-PBE.

Values from the calculation:
Density of states at the Fermi level: 0.000 states/eV per cell
Total magnetization: 0.00 μB/f.u.
Raw formation energy: -1499 kJ/mol of formula units

Lattice parameters (Å, degrees): 6.7189 6.7189 6.6721 90.00 90.00 120.00
Space group P312 (No. 149)
One atom of each set of equivalent atoms:
Ba  0.0000  0.0000  0.0000 (multiplicity 1)
Li  0.3333  0.6667  0.5000 (multiplicity 1)
In  0.6667  0.3333  0.5000 (multiplicity 1)
Cl  0.3732  0.0048  0.7189 (multiplicity 6)

=====

A relaxed BaMnIn2Cl6 crystal, computed with GGA-PBE.

Values from the calculation:
Density of states at the Fermi level: 0.000 states/eV per cell
Total magnetization: 5.00 μB/f.u.
Raw formation energy: -1331 kJ/mol of formula units

Lattice parameters (Å, degrees): 7.467 7.480 7.481 64.06 63.95 64.05
Space group P-1 (No. 2)
One atom of each set of equivalent atoms:
Ba  0.000  0.000  0.000 (multiplicity 1)
Mn  0.500  0.500  0.500 (multiplicity 1)
In  0.283  0.285  0.284 (multiplicity 2)
Cl  0.186  0.698  0.361 (multiplicity 2)
Cl  0.301  0.638  0.814 (multiplicity 2)
Cl  0.362  0.186  0.697 (multiplicity 2)

=====

A relaxed BaIn2MoCl crystal, computed with GGA-PBE.

Values from the calculation:
Density of states at the Fermi level: 3.426 states/eV per cell
Total magnetization: 0.00 μB/f.u.
Raw formation energy: 9 kJ/mol of formula units

Lattice parameters (Å, degrees): 5.266 5.266 5.944 90.00 90.00 90.00
Space group P4/mmm (No. 123)
One atom of each set of equivalent atoms:
Ba  0.000  0.000  0.000 (multiplicity 1)
In  0.000  0.500  0.500 (multiplicity 2)
Mo  0.000  0.000  0.500 (multiplicity 1)
Cl  0.500  0.500  0.000 (multiplicity 1)